Entry from Alexandria: SrBeAu6 after structural relaxation (PBE-GGA).

Summary:
E (eV per atom): -3.43
E_form (meV/atom): -298.1

abc: 6.5545 6.5545 13.7206
angles: 90.00 90.00 120.00
Space group R-3m (No. 166, hexagonal axes)
One atom of each set of equivalent atoms:
Sr 0.0000 0.0000 0.0000 [3 per cell]
Be 0.0000 0.0000 0.5000 [3 per cell]
Au 0.0470 0.5235 0.9008 [18 per cell]